[1]
# PBE-GGA Li3SiPb, relaxed
# * energy relative to the elements, uncorrected: 0.0746 eV per atom
# * electronic total energy: -2.900 eV per atom
# * symmetry: Pm-3m (221)
data_Li3SiPb
_space_group_name_H-M_alt 'P 1'
_space_group_IT_number 1
_space_group_name_Hall 'P 1'
_cell_length_a 4.767
_cell_length_b 4.767
_cell_length_c 4.767
_cell_angle_alpha 90.00
_cell_angle_beta 90.00
_cell_angle_gamma 90.00
loop_
_atom_site_label
_atom_site_fract_x
_atom_site_fract_y
_atom_site_fract_z
Pb1 0.500 0.500 0.500
Li1 0.000 0.500 0.000
Li2 0.500 0.000 0.000
Li3 0.000 0.000 0.500
Si1 0.000 0.000 0.000



[2]
# PBE-GGA Li4SiPb, relaxed
# * energy relative to the elements, uncorrected: 0.0271 eV per atom
# * electronic total energy: -2.771 eV per atom
# * symmetry: F-43m (216)
data_Li4SiPb
_space_group_name_H-M_alt 'P 1'
_space_group_IT_number 1
_space_group_name_Hall 'P 1'
_cell_length_a 5.320
_cell_length_b 5.320
_cell_length_c 5.320
_cell_angle_alpha 60.00
_cell_angle_beta 60.00
_cell_angle_gamma 60.00
loop_
_atom_site_label
_atom_site_fract_x
_atom_site_fract_y
_atom_site_fract_z
Li1 0.374 0.374 0.878
Li2 0.374 0.374 0.374
Li3 0.878 0.374 0.374
Li4 0.374 0.878 0.374
Pb1 0.750 0.750 0.750
Si1 0.000 0.000 0.000



Question: Which value of energy relative to the elements, uncorrected does entry 1 give?
Answer: 0.0746 eV per atom



Copy entry 2 word for word.
# PBE-GGA Li4SiPb, relaxed
# * energy relative to the elements, uncorrected: 0.0271 eV per atom
# * electronic total energy: -2.771 eV per atom
# * symmetry: F-43m (216)
data_Li4SiPb
_space_group_name_H-M_alt 'P 1'
_space_group_IT_number 1
_space_group_name_Hall 'P 1'
_cell_length_a 5.320
_cell_length_b 5.320
_cell_length_c 5.320
_cell_angle_alpha 60.00
_cell_angle_beta 60.00
_cell_angle_gamma 60.00
loop_
_atom_site_label
_atom_site_fract_x
_atom_site_fract_y
_atom_site_fract_z
Li1 0.374 0.374 0.878
Li2 0.374 0.374 0.374
Li3 0.878 0.374 0.374
Li4 0.374 0.878 0.374
Pb1 0.750 0.750 0.750
Si1 0.000 0.000 0.000



Question: Which formula does entry 2 have?
Answer: Li4SiPb



What did the second record say?
# PBE-GGA Li4SiPb, relaxed
# * energy relative to the elements, uncorrected: 0.0271 eV per atom
# * electronic total energy: -2.771 eV per atom
# * symmetry: F-43m (216)
data_Li4SiPb
_space_group_name_H-M_alt 'P 1'
_space_group_IT_number 1
_space_group_name_Hall 'P 1'
_cell_length_a 5.320
_cell_length_b 5.320
_cell_length_c 5.320
_cell_angle_alpha 60.00
_cell_angle_beta 60.00
_cell_angle_gamma 60.00
loop_
_atom_site_label
_atom_site_fract_x
_atom_site_fract_y
_atom_site_fract_z
Li1 0.374 0.374 0.878
Li2 0.374 0.374 0.374
Li3 0.878 0.374 0.374
Li4 0.374 0.878 0.374
Pb1 0.750 0.750 0.750
Si1 0.000 0.000 0.000